(1)
DFT (GGA-PBE) results for a relaxed structure of Ho6AlAg3.

a = 5.0197 Å, b = 9.1084 Å, c = 11.4523 Å
α = 103.77°, β = 90.00°, γ = 90.00°
Sites, in units of the cell vectors:
Ho1 0.2500 0.5019 0.1134
Ho2 0.7500 0.4981 0.8866
Ho3 0.2500 0.1159 0.1678
Ho4 0.7500 0.8841 0.8322
Ho5 0.2500 0.6496 0.6962
Ho6 0.7500 0.3504 0.3038
Ho7 0.2500 0.2417 0.4837
Ho8 0.7500 0.7583 0.5163
Ho9 0.2500 0.8530 0.3407
Ho10 0.7500 0.1470 0.6593
Ho11 0.2500 0.1419 0.8895
Ho12 0.7500 0.8581 0.1105
Al1 0.2500 0.9530 0.6269
Al2 0.7500 0.0470 0.3731
Ag1 0.2500 0.5355 0.3902
Ag2 0.7500 0.4645 0.6098
Ag3 0.2500 0.3540 0.7454
Ag4 0.7500 0.6460 0.2546
Ag5 0.2500 0.7754 0.9675
Ag6 0.7500 0.2246 0.0325

Values from the calculation:
- Space group: P2_1/m (11)

---

(2)
DFT (GGA-PBE) results for a relaxed structure of Ho3Al2Ag.

a = 3.4660 Å, b = 3.4660 Å, c = 11.6555 Å
α = 90.00°, β = 90.00°, γ = 90.00°
Sites, in units of the cell vectors:
Ho1 0.0000 0.0000 0.0000
Ho2 0.0000 0.0000 0.6667
Ho3 0.0000 0.0000 0.3333
Al1 0.5000 0.5000 0.8310
Al2 0.5000 0.5000 0.1690
Ag1 0.5000 0.5000 0.5000

Values from the calculation:
- Space group: P4/mmm (123)

---

(3)
DFT (GGA-PBE) results for a relaxed structure of Ho2Al6Ag9.

a = 5.6513 Å, b = 5.6513 Å, c = 12.7700 Å
α = 90.00°, β = 90.00°, γ = 120.00°
Sites, in units of the cell vectors:
Ho1 0.0000 0.0000 0.6636
Ho2 0.0000 0.0000 0.3364
Al1 0.3333 0.6667 0.0000
Al2 0.6667 0.3333 0.0000
Al3 0.3333 0.6667 0.6647
Al4 0.6667 0.3333 0.6647
Al5 0.6667 0.3333 0.3353
Al6 0.3333 0.6667 0.3353
Ag1 0.5000 0.0000 0.8318
Ag2 0.0000 0.5000 0.8318
Ag3 0.5000 0.5000 0.8318
Ag4 0.5000 0.0000 0.1682
Ag5 0.0000 0.5000 0.1682
Ag6 0.5000 0.5000 0.1682
Ag7 0.5000 0.0000 0.5000
Ag8 0.0000 0.5000 0.5000
Ag9 0.5000 0.5000 0.5000

Values from the calculation:
- Space group: P6/mmm (191)

---

(4)
DFT (GGA-PBE) results for a relaxed structure of Ho5Al4Ag.

a = 3.5572 Å, b = 3.5572 Å, c = 18.3064 Å
α = 90.00°, β = 90.00°, γ = 90.00°
Sites, in units of the cell vectors:
Ho1 0.5000 0.5000 0.1032
Ho2 0.5000 0.5000 0.3027
Ho3 0.5000 0.5000 0.5000
Ho4 0.5000 0.5000 0.6973
Ho5 0.5000 0.5000 0.8968
Al1 0.0000 0.0000 0.2023
Al2 0.0000 0.0000 0.4015
Al3 0.0000 0.0000 0.5985
Al4 0.0000 0.0000 0.7977
Ag1 0.0000 0.0000 0.0000

Values from the calculation:
- Space group: P4/mmm (123)

---

| no. | DFT formation energy (eV/atom) | calculated volume (Å³/cell) |
| --- | --- | --- |
| 1 | -0.22 | 508.6 |
| 2 | -0.37 | 140.0 |
| 3 | -0.08 | 353.2 |
| 4 | -0.38 | 231.6 |